This record from the Alexandria database describes an optimized crystal structure of TlCo2Ge2. The functional is PBE.

The structure in POSCAR format:
```
TlCo2Ge2
1.0
-0.324 4.108 -0.376
-2.686 0.076 3.147
2.223 2.676 4.553
Tl Co Ge
1 2 2
Cartesian
0.000 0.000 0.000
0.197 4.438 2.782
-0.984 2.422 4.543
-0.506 2.249 2.234
-0.280 4.612 5.090
```

Output
For the final energy, the calculation gives -5.05 eV per atom. For the relative energy among the computed polymorphs, the calculation gives 0.0000 eV per atom. Its space group is I4/mmm, No. 139. As for the formation energy from the elements: 0.11 eV per atom.